Computed, not measured: a geometry-optimized BaGe structure at the PBE level of DFT.

Results
M_tot: 0.0 Bohr magnetons per cell
Electronic total energy: -7.41 eV per formula unit

CIF file:
```
data_BaGe
_symmetry_space_group_name_H-M 'P 1'
_symmetry_Int_Tables_number 1
_cell_length_a 11.2976
_cell_length_b 11.2976
_cell_length_c 5.1240
_cell_angle_alpha 90.00
_cell_angle_beta 90.00
_cell_angle_gamma 120.00
loop_
_symmetry_equiv_pos_as_xyz
'x,y,z'
loop_
_atom_site_label
_atom_site_fract_x
_atom_site_fract_y
_atom_site_fract_z
_atom_site_occupancy
Ge1 0.3519 0.8068 0.2500 1
Ba1 0.4217 0.1234 0.2500 1
Ge2 0.8068 0.4549 0.7500 1
Ba2 0.8766 0.2983 0.2500 1
Ba3 0.2983 0.4217 0.7500 1
Ba4 0.5783 0.8766 0.7500 1
Ge3 0.1932 0.5451 0.2500 1
Ge4 0.4549 0.6481 0.2500 1
Ba5 0.7017 0.5783 0.2500 1
Ge5 0.5451 0.3519 0.7500 1
Ge6 0.6481 0.1932 0.7500 1
Ba6 0.1234 0.7017 0.7500 1
```